## BeSeCl (PBE)

Data for crystalline BeSeCl at its relaxed geometry.

It has space group Fmm2 (No. 42), with a = 2.850 Å, b = 8.637 Å, c = 14.789 Å, α = 90.00°, β = 90.00° and γ = 90.00°. The asymmetric unit holds Be at (0.000, 0.000, 0.000), Se at (0.000, 0.000, 0.626) and Cl at (0.000, 0.000, 0.404).

For the electronic total energy, the calculation gives -3.492 eV per atom. For the total magnetization, the calculation gives 0.00 μB/f.u. The calculation puts the excess energy over the best structure of this formula in the dataset at 94 meV per atom. For the formation energy (no corrections), the calculation gives -473 meV/atom.